Entry 1:
First-principles (PBE) data for crystalline BaSiSbTe2 at its relaxed geometry, as listed in the Alexandria database.

The structure in POSCAR format:
```
BaSiSbTe2
1.0
-1.642 3.938 -3.552
-4.208 1.295 3.382
3.069 3.511 2.474
Sb Si Te Ba
1 1 2 1
direct
0.000 0.000 0.500
0.000 0.000 0.000
0.000 0.500 0.000
0.500 0.000 0.000
0.500 0.500 0.500
```

Output
Total moment, μB per atom: 0.00
Density of states at the Fermi level, states/eV per atom: 1.037
Formation energy from raw total energies, eV per atom: -0.343

=====

Entry 2:
First-principles (PBE) data for crystalline BaTiSiSb2 at its relaxed geometry, as listed in the Alexandria database.

The structure in POSCAR format:
```
BaTiSiSb2
1.0
-1.601 -4.448 -2.223
5.485 -0.680 -2.590
1.640 -2.677 4.176
Sb Si Ba Ti
2 1 1 1
direct
0.000 0.000 0.500
0.500 0.000 0.000
0.500 0.500 0.500
0.000 0.500 0.000
0.000 0.000 0.000
```

Output
Total moment, μB per atom: 0.44
Density of states at the Fermi level, states/eV per atom: 1.207
Formation energy from raw total energies, eV per atom: 0.408

=====

Entry 3:
First-principles (PBE) data for crystalline BaSmSb at its relaxed geometry, as listed in the Alexandria database.

The structure in POSCAR format:
```
BaSmSb
1.0
-3.354 -3.334 -1.026
-0.425 -1.160 5.159
-3.079 3.755 -2.137
Sb Ba Sm
1 1 1
direct
0.167 0.000 0.000
0.667 0.667 0.333
0.167 0.333 0.667
```

Output
Total moment, μB per atom: 0.00
Density of states at the Fermi level, states/eV per atom: 0.976
Formation energy from raw total energies, eV per atom: -0.568

=====

Entry 4:
First-principles (PBE) data for crystalline BaSnSb3 at its relaxed geometry, as listed in the Alexandria database.

The structure in POSCAR format:
```
BaSnSb3
1.0
-1.430 -4.648 -5.140
1.611 -7.147 6.015
-10.883 2.626 0.654
Ba Sn Sb
4 4 12
direct
0.373 0.382 0.318
0.627 0.618 0.682
0.873 0.618 0.182
0.127 0.382 0.818
0.892 0.015 0.816
0.108 0.985 0.184
0.392 0.985 0.684
0.608 0.015 0.316
0.127 0.827 0.474
0.873 0.173 0.526
0.627 0.173 0.026
0.373 0.827 0.974
0.029 0.220 0.065
0.971 0.780 0.935
0.529 0.780 0.435
0.471 0.220 0.565
0.392 0.602 0.098
0.608 0.398 0.902
0.892 0.398 0.402
0.108 0.602 0.598
```

Output
Total moment, μB per atom: 0.00
Density of states at the Fermi level, states/eV per atom: 0.002
Formation energy from raw total energies, eV per atom: -0.347

=====

Which value of formation energy from raw total energies does entry 2 give? 0.408 eV per atom

=====

Repeat the third record exactly.
First-principles (PBE) data for crystalline BaSmSb at its relaxed geometry, as listed in the Alexandria database.

The structure in POSCAR format:
```
BaSmSb
1.0
-3.354 -3.334 -1.026
-0.425 -1.160 5.159
-3.079 3.755 -2.137
Sb Ba Sm
1 1 1
direct
0.167 0.000 0.000
0.667 0.667 0.333
0.167 0.333 0.667
```

Output
Total moment, μB per atom: 0.00
Density of states at the Fermi level, states/eV per atom: 0.976
Formation energy from raw total energies, eV per atom: -0.568

=====

Copy entry 4 word for word.
First-principles (PBE) data for crystalline BaSnSb3 at its relaxed geometry, as listed in the Alexandria database.

The structure in POSCAR format:
```
BaSnSb3
1.0
-1.430 -4.648 -5.140
1.611 -7.147 6.015
-10.883 2.626 0.654
Ba Sn Sb
4 4 12
direct
0.373 0.382 0.318
0.627 0.618 0.682
0.873 0.618 0.182
0.127 0.382 0.818
0.892 0.015 0.816
0.108 0.985 0.184
0.392 0.985 0.684
0.608 0.015 0.316
0.127 0.827 0.474
0.873 0.173 0.526
0.627 0.173 0.026
0.373 0.827 0.974
0.029 0.220 0.065
0.971 0.780 0.935
0.529 0.780 0.435
0.471 0.220 0.565
0.392 0.602 0.098
0.608 0.398 0.902
0.892 0.398 0.402
0.108 0.602 0.598
```

Output
Total moment, μB per atom: 0.00
Density of states at the Fermi level, states/eV per atom: 0.002
Formation energy from raw total energies, eV per atom: -0.347

=====

Which of these has the highest formation energy from raw total energies? BaTiSiSb2